Computed, not measured: Y5PaSb6 after structural relaxation at the PBE level of DFT.

For the density of states at the Fermi level, the calculation gives 12.49 states/eV per cell. For the calculated density, the calculation gives 6.54 g/cm³. The calculation puts the calculated total energy at -6.597 eV per atom. Its crystal system is monoclinic. Its formation energy from raw total energies is -1.05 eV per atom.

It has space group C2/m (No. 12), with a = 7.590 Å, b = 13.146 Å, c = 7.589 Å, α = 90.00°, β = 109.45° and γ = 90.00°. The inequivalent atoms are Y at (0.000, 0.000, 0.000), Y at (0.000, 0.166, 0.500), Y at (0.000, 0.332, 0.000), Pa at (0.000, 0.500, 0.500), Sb at (0.247, 0.500, 0.252) and Sb at (0.248, 0.335, 0.749).

---

Computed, not measured: YPaSb after structural relaxation at the PBE level of DFT.

For the density of states at the Fermi level, the calculation gives 6.89 states/eV per cell. For the calculated density, the calculation gives 9.41 g/cm³. The calculation puts the calculated total energy at -7.202 eV per atom. Its crystal system is hexagonal. Its formation energy from raw total energies is -0.51 eV per atom.

It has space group P6_3/mmc (No. 194), with a = 5.3668 Å, b = 5.3668 Å, c = 6.2467 Å, α = 90.00°, β = 90.00° and γ = 120.00°. The inequivalent atoms are Y at (0.3333, 0.6667, 0.2500), Pa at (0.0000, 0.0000, 0.0000) and Sb at (0.3333, 0.6667, 0.7500).

---

Computed, not measured: Y4PaSb5 after structural relaxation at the PBE level of DFT.

For the density of states at the Fermi level, the calculation gives 13.60 states/eV per cell. For the calculated density, the calculation gives 6.66 g/cm³. The calculation puts the calculated total energy at -6.619 eV per atom. Its crystal system is tetragonal. Its formation energy from raw total energies is -1.02 eV per atom.

It has space group I4/m (No. 87), with a = 9.800 Å, b = 9.800 Å, c = 6.206 Å, α = 90.00°, β = 90.00° and γ = 90.00°. The inequivalent atoms are Y at (0.099, 0.699, 0.000), Pa at (0.000, 0.000, 0.500), Sb at (0.000, 0.000, 0.000) and Sb at (0.099, 0.702, 0.500).

---

Computed, not measured: YPaSb after structural relaxation at the PBE level of DFT.

For the density of states at the Fermi level, the calculation gives 11.25 states/eV per cell. For the calculated density, the calculation gives 8.76 g/cm³. The calculation puts the calculated total energy at -6.939 eV per atom. Its crystal system is tetragonal. Its formation energy from raw total energies is -0.24 eV per atom.

It has space group I4mm (No. 107), with a = 3.895 Å, b = 3.895 Å, c = 11.031 Å, α = 90.00°, β = 90.00° and γ = 90.00°. The inequivalent atoms are Y at (0.000, 0.000, 0.000), Pa at (0.000, 0.000, 0.699) and Sb at (0.000, 0.000, 0.354).

---

Computed, not measured: YPaSb after structural relaxation at the PBE level of DFT.

For the density of states at the Fermi level, the calculation gives 5.89 states/eV per cell. For the calculated density, the calculation gives 8.77 g/cm³. The calculation puts the calculated total energy at -6.745 eV per atom. Its crystal system is trigonal. Its formation energy from raw total energies is -0.05 eV per atom.

It has space group P3m1 (No. 156), with a = 5.2728 Å, b = 5.2728 Å, c = 3.4746 Å, α = 90.00°, β = 90.00° and γ = 120.00°. The inequivalent atoms are Y at (0.0000, 0.0000, 0.0000), Pa at (0.3333, 0.6667, 0.5187) and Sb at (0.6667, 0.3333, 0.2067).

---

Computed, not measured: Y5Pa3Sb8 after structural relaxation at the PBE level of DFT.

For the density of states at the Fermi level, the calculation gives 58.70 states/eV per cell. For the calculated density, the calculation gives 7.36 g/cm³. The calculation puts the calculated total energy at -6.745 eV per atom. Its crystal system is trigonal. Its formation energy from raw total energies is -0.88 eV per atom.

It has space group R-3m (No. 166, hexagonal axes), with a = 8.7568 Å, b = 8.7568 Å, c = 21.5315 Å, α = 90.00°, β = 90.00° and γ = 120.00°. The inequivalent atoms are Y at (0.0000, 0.0000, 0.0000), Y at (0.0000, 0.0000, 0.5000), Y at (0.0000, 0.5000, 0.0000), Pa at (0.0000, 0.5000, 0.5000), Sb at (0.0000, 0.0000, 0.2505) and Sb at (0.9998, 0.4999, 0.2499).

---

Computed, not measured: PaZnSb after structural relaxation at the PBE level of DFT.

For the density of states at the Fermi level, the calculation gives 9.58 states/eV per cell. For the calculated density, the calculation gives 9.96 g/cm³. The calculation puts the calculated total energy at -5.027 eV per atom. Its crystal system is tetragonal. Its formation energy from raw total energies is -0.06 eV per atom.

It has space group I4mm (No. 107), with a = 3.709 Å, b = 3.709 Å, c = 10.131 Å, α = 90.00°, β = 90.00° and γ = 90.00°. The inequivalent atoms are Pa at (0.000, 0.000, 0.000), Zn at (0.000, 0.000, 0.325) and Sb at (0.000, 0.000, 0.680).

---

Computed, not measured: PaZnSb2 after structural relaxation at the PBE level of DFT.

For the density of states at the Fermi level, the calculation gives 3.57 states/eV per cell. For the calculated density, the calculation gives 9.18 g/cm³. The calculation puts the calculated total energy at -5.013 eV per atom. Its crystal system is tetragonal. Its formation energy from raw total energies is -0.26 eV per atom.

It has space group P4/mmm (No. 123), with a = 3.950 Å, b = 3.950 Å, c = 6.258 Å, α = 90.00°, β = 90.00° and γ = 90.00°. The inequivalent atoms are Pa at (0.000, 0.000, 0.000), Zn at (0.000, 0.000, 0.500) and Sb at (0.500, 0.500, 0.252).

---

Computed, not measured: PaZnSb after structural relaxation at the PBE level of DFT.

For the density of states at the Fermi level, the calculation gives 20.08 states/eV per cell. For the calculated density, the calculation gives 9.15 g/cm³. The calculation puts the calculated total energy at -5.047 eV per atom. Its crystal system is trigonal. Its formation energy from raw total energies is -0.08 eV per atom.

It has space group R-3m (No. 166, hexagonal axes), with a = 4.8810 Å, b = 4.8810 Å, c = 22.0817 Å, α = 90.00°, β = 90.00° and γ = 120.00°. The inequivalent atoms are Pa at (0.0000, 0.0000, 0.0621), Zn at (0.0000, 0.0000, 0.3374) and Sb at (0.0000, 0.0000, 0.2075).

---

Computed, not measured: PaZnSb after structural relaxation at the PBE level of DFT.

For the density of states at the Fermi level, the calculation gives 5.35 states/eV per cell. For the calculated density, the calculation gives 9.91 g/cm³. The calculation puts the calculated total energy at -5.099 eV per atom. Its crystal system is trigonal. Its formation energy from raw total energies is -0.13 eV per atom.

It has space group P3m1 (No. 156), with a = 4.5796 Å, b = 4.5796 Å, c = 3.8601 Å, α = 90.00°, β = 90.00° and γ = 120.00°. The inequivalent atoms are Pa at (0.0000, 0.0000, 0.0000), Zn at (0.6667, 0.3333, 0.6015) and Sb at (0.3333, 0.6667, 0.4787).

---

Computed, not measured: PaZnSb2 after structural relaxation at the PBE level of DFT.

For the density of states at the Fermi level, the calculation gives 10.75 states/eV per cell. For the calculated density, the calculation gives 8.73 g/cm³. The calculation puts the calculated total energy at -4.735 eV per atom. Its crystal system is trigonal. Its formation energy from raw total energies is 0.02 eV per atom.

It has space group R-3m (No. 166, hexagonal axes), with a = 3.2417 Å, b = 3.2417 Å, c = 33.8578 Å, α = 90.00°, β = 90.00° and γ = 120.00°. The inequivalent atoms are Pa at (0.0000, 0.0000, 0.0000), Zn at (0.0000, 0.0000, 0.5000) and Sb at (0.0000, 0.0000, 0.4135).

---

Computed, not measured: PaZn2Sb after structural relaxation at the PBE level of DFT.

For the density of states at the Fermi level, the calculation gives 4.49 states/eV per cell. For the calculated density, the calculation gives 9.35 g/cm³. The calculation puts the calculated total energy at -4.260 eV per atom. Its crystal system is tetragonal. Its formation energy from raw total energies is -0.22 eV per atom.

It has space group P4/mmm (No. 123), with a = 4.355 Å, b = 4.355 Å, c = 4.531 Å, α = 90.00°, β = 90.00° and γ = 90.00°. The inequivalent atoms are Pa at (0.000, 0.000, 0.000), Zn at (0.000, 0.500, 0.500) and Sb at (0.500, 0.500, 0.000).

---

Computed, not measured: PaZn2Sb after structural relaxation at the PBE level of DFT.

For the density of states at the Fermi level, the calculation gives 15.74 states/eV per cell. For the calculated density, the calculation gives 9.33 g/cm³. The calculation puts the calculated total energy at -3.948 eV per atom. Its crystal system is trigonal. Its formation energy from raw total energies is 0.09 eV per atom.

It has space group R-3m (No. 166, hexagonal axes), with a = 4.5966 Å, b = 4.5966 Å, c = 14.1145 Å, α = 90.00°, β = 90.00° and γ = 120.00°. The inequivalent atoms are Pa at (0.0000, 0.0000, 0.0000), Zn at (0.0000, 0.0000, 0.2349) and Sb at (0.0000, 0.0000, 0.5000).

---

Computed, not measured: PaZn4Sb after structural relaxation at the PBE level of DFT.

For the density of states at the Fermi level, the calculation gives 31.59 states/eV per cell. For the calculated density, the calculation gives 8.76 g/cm³. The calculation puts the calculated total energy at -3.038 eV per atom. Its crystal system is cubic. Its formation energy from raw total energies is 0.08 eV per atom.

It has space group F-43m (No. 216), with a = 7.753 Å, b = 7.753 Å, c = 7.753 Å, α = 90.00°, β = 90.00° and γ = 90.00°. The inequivalent atoms are Pa at (0.000, 0.000, 0.000), Zn at (0.125, 0.125, 0.375) and Sb at (0.250, 0.250, 0.750).

---

Computed, not measured: PaZnSb2 after structural relaxation at the PBE level of DFT.

For the density of states at the Fermi level, the calculation gives 1.74 states/eV per cell. For the calculated density, the calculation gives 9.59 g/cm³. The calculation puts the calculated total energy at -5.129 eV per atom. Its crystal system is tetragonal. Its formation energy from raw total energies is -0.38 eV per atom.

It has space group P4/mmm (No. 123), with a = 4.758 Å, b = 4.758 Å, c = 4.131 Å, α = 90.00°, β = 90.00° and γ = 90.00°. The inequivalent atoms are Pa at (0.000, 0.000, 0.000), Zn at (0.500, 0.500, 0.000) and Sb at (0.000, 0.500, 0.500).

---

Computed, not measured: Pa2ZnSb4 after structural relaxation at the PBE level of DFT.

For the density of states at the Fermi level, the calculation gives 8.60 states/eV per cell. For the calculated density, the calculation gives 9.26 g/cm³. The calculation puts the calculated total energy at -5.609 eV per atom. Its crystal system is tetragonal. Its formation energy from raw total energies is -0.36 eV per atom.

It has space group P-4m2 (No. 115), with a = 4.407 Å, b = 4.407 Å, c = 9.370 Å, α = 90.00°, β = 90.00° and γ = 90.00°. The inequivalent atoms are Pa at (0.000, 0.500, 0.246), Zn at (0.500, 0.500, 0.000), Sb at (0.000, 0.000, 0.500), Sb at (0.000, 0.500, 0.833) and Sb at (0.500, 0.500, 0.500).

---

Computed, not measured: ZrPaSb after structural relaxation at the PBE level of DFT.

For the density of states at the Fermi level, the calculation gives 14.42 states/eV per cell. For the calculated density, the calculation gives 10.23 g/cm³. The calculation puts the calculated total energy at -7.871 eV per atom. Its crystal system is monoclinic. Its formation energy from raw total energies is -0.48 eV per atom.

It has space group C2/m (No. 12), with a = 5.855 Å, b = 5.855 Å, c = 8.408 Å, α = 90.00°, β = 90.06° and γ = 90.00°. The inequivalent atoms are Zr at (0.249, 0.000, 0.147), Pa at (0.000, 0.250, 0.500) and Sb at (0.249, 0.500, 0.204).

---

Computed, not measured: ZrPaSb2 after structural relaxation at the PBE level of DFT.

For the density of states at the Fermi level, the calculation gives 15.69 states/eV per cell. For the calculated density, the calculation gives 8.52 g/cm³. The calculation puts the calculated total energy at -7.040 eV per atom. Its crystal system is trigonal. Its formation energy from raw total energies is -0.47 eV per atom.

It has space group R3m (No. 160, hexagonal axes), with a = 4.1258 Å, b = 4.1258 Å, c = 22.4498 Å, α = 90.00°, β = 90.00° and γ = 120.00°. The inequivalent atoms are Zr at (0.0000, 0.0000, 0.0000), Pa at (0.0000, 0.0000, 0.8274), Sb at (0.0000, 0.0000, 0.2519) and Sb at (0.0000, 0.0000, 0.4084).

---

Computed, not measured: ZrPaSb2 after structural relaxation at the PBE level of DFT.

For the density of states at the Fermi level, the calculation gives 22.49 states/eV per cell. For the calculated density, the calculation gives 9.66 g/cm³. The calculation puts the calculated total energy at -7.088 eV per atom. Its crystal system is cubic. Its formation energy from raw total energies is -0.52 eV per atom.

It has space group Fm-3m (No. 225), with a = 7.301 Å, b = 7.301 Å, c = 7.301 Å, α = 90.00°, β = 90.00° and γ = 90.00°. The inequivalent atoms are Zr at (0.000, 0.000, 0.000), Pa at (0.000, 0.000, 0.500) and Sb at (0.250, 0.250, 0.250).

---

Computed, not measured: Zr6PaSb5 after structural relaxation at the PBE level of DFT.

For the density of states at the Fermi level, the calculation gives 18.55 states/eV per cell. For the calculated density, the calculation gives 8.05 g/cm³. The calculation puts the calculated total energy at -7.236 eV per atom. Its crystal system is monoclinic. Its formation energy from raw total energies is -0.45 eV per atom.

It has space group C2/m (No. 12), with a = 8.860 Å, b = 11.065 Å, c = 6.032 Å, α = 90.00°, β = 104.65° and γ = 90.00°. The inequivalent atoms are Zr at (0.216, 0.000, 0.209), Zr at (0.229, 0.167, 0.731), Pa at (0.000, 0.500, 0.000), Sb at (0.000, 0.000, 0.500), Sb at (0.000, 0.203, 0.000) and Sb at (0.000, 0.361, 0.500).